# 1
# Ba2CuB2S6

A relaxed structure of Ba2CuB2S6 (PBE-GGA, the Alexandria database).

* ΔE_f (raw): -10.12 eV per formula unit
* symmetry: R-3m (166)

Cell and atoms, written as POSCAR:
```
Ba2CuB2S6
1.0
3.250 1.876 6.572
-3.250 1.876 6.572
0.000 -3.753 6.572
Ba Cu B S
2 1 2 6
Cartesian
0.000 0.000 4.554
0.000 0.000 15.163
0.000 0.000 0.000
0.000 0.000 8.105
0.000 0.000 11.612
0.000 -1.825 8.186
-1.581 0.913 8.186
-1.581 -0.913 11.530
1.581 0.913 8.186
1.581 -0.913 11.530
0.000 1.825 11.530
```

# 2
# BaCuB2Se8

A relaxed structure of BaCuB2Se8 (PBE-GGA, the Alexandria database).

* ΔE_f (raw): -3.53 eV per formula unit
* symmetry: C2/m (12)

Cell and atoms, written as POSCAR:
```
BaCuB2Se8
1.0
6.116 -2.618 0.000
6.116 2.618 0.000
-2.738 0.000 10.148
Ba Cu B Se
1 1 2 8
Cartesian
0.000 0.000 0.000
-1.369 0.000 5.074
2.666 0.000 7.122
6.827 0.000 3.026
1.506 0.000 5.422
5.115 1.264 3.081
4.378 1.264 7.066
1.685 0.000 8.851
7.808 0.000 1.297
5.115 -1.264 3.081
4.378 -1.264 7.066
7.987 0.000 4.725
```

# 3
# BaCuSn2B

A relaxed structure of BaCuSn2B (PBE-GGA, the Alexandria database).

* formation enthalpy at 0 K: 1.891 eV per atom
* symmetry: P4/mmm (123)

Cell and atoms, written as POSCAR:
```
BaCuSn2B
1.0
6.266 0.000 0.000
0.000 6.266 0.000
0.000 0.000 4.854
Ba Cu Sn B
1 1 2 1
Cartesian
0.000 0.000 0.000
3.133 3.133 2.427
0.000 3.133 0.000
3.133 0.000 0.000
0.000 0.000 2.427
```

# 4
# Ba2TlCuB

A relaxed structure of Ba2TlCuB (PBE-GGA, the Alexandria database).

* formation enthalpy at 0 K: 0.724 eV per atom
* symmetry: P4/mmm (123)

Cell and atoms, written as POSCAR:
```
Ba2TlCuB
1.0
6.037 0.000 0.000
0.000 6.037 0.000
0.000 0.000 4.907
Ba Tl Cu B
2 1 1 1
Cartesian
0.000 3.019 0.000
3.019 0.000 0.000
0.000 0.000 2.454
0.000 0.000 0.000
3.019 3.019 2.454
```

Uncorrected energy values (in eV/atom) by entry order: -5.1077, -4.2320, -2.2495, -2.6732.
Size of the total moment values (in μB/cell) by entry order: 0.000, 0.004, 0.000, 0.858.